A plane-wave DFT calculation with PBE was carried out for a relaxed structure of CdPtCl2.

The value obtained for the energy above the most stable polymorph in this dataset is 282.0 meV/atom. The value obtained for the uncorrected energy is -2.82 eV/atom. Its density of states at the Fermi level is 8.94 states/eV per cell.

The structure belongs to space group I-42d (No. 122); the cell edges are 8.791, 8.791 and 5.368 Å and the angles 90.00°, 90.00° and 90.00°. The inequivalent atoms are Cd at (0.000, 0.000, 0.000), Pt at (0.000, 0.000, 0.500) and Cl at (0.107, 0.250, 0.625).

A plane-wave DFT calculation with PBE was carried out for a relaxed structure of MgGaSi2O6.

The value obtained for the uncorrected energy is -6.94 eV/atom. Its density of states at the Fermi level is 8.25 states/eV per cell.

The structure belongs to space group C2/c (No. 15); the cell edges are 9.872, 9.093 and 5.390 Å and the angles 90.00°, 108.89° and 90.00°. The inequivalent atoms are Mg at (0.000, 0.102, 0.250), Ga at (0.000, 0.254, 0.750), Si at (0.207, 0.411, 0.240), O at (0.115, 0.090, 0.652), O at (0.130, 0.253, 0.153) and O at (0.158, 0.479, 0.481).

A plane-wave DFT calculation with PBE was carried out for a relaxed structure of NiAs2N.

The value obtained for the uncorrected energy is -5.51 eV/atom. Its density of states at the Fermi level is 6.41 states/eV per cell.

The structure belongs to space group I-42d (No. 122); the cell edges are 5.096, 5.096 and 9.665 Å and the angles 90.00°, 90.00° and 90.00°. The inequivalent atoms are Ni at (0.000, 0.000, 0.000), As at (0.221, 0.250, 0.625) and N at (0.000, 0.000, 0.500).

A plane-wave DFT calculation with PBE was carried out for a relaxed structure of PrY12Er3.

The value obtained for the uncorrected energy is -5.98 eV/atom. The formation energy from the elements is 25 meV per atom. Its density of states at the Fermi level is 22.58 states/eV per cell.

The structure belongs to space group P4/mmm (No. 123); the cell edges are 5.046, 5.046 and 20.196 Å and the angles 90.00°, 90.00° and 90.00°. The inequivalent atoms are Pr at (0.000, 0.000, 0.000), Y at (0.000, 0.500, 0.128), Y at (0.000, 0.500, 0.376), Y at (0.500, 0.500, 0.000), Y at (0.500, 0.500, 0.252), Y at (0.500, 0.500, 0.500), Er at (0.000, 0.000, 0.252) and Er at (0.000, 0.000, 0.500).

A plane-wave DFT calculation with PBE was carried out for a relaxed structure of GaINO2.

The value obtained for the uncorrected energy is -4.15 eV/atom. Its density of states at the Fermi level is 1.89 states/eV per cell.

The structure belongs to space group P4/mmm (No. 123); the cell edges are 3.648, 3.648 and 7.229 Å and the angles 90.00°, 90.00° and 90.00°. The inequivalent atoms are Ga at (0.000, 0.000, 0.000), I at (0.000, 0.000, 0.500), N at (0.500, 0.500, 0.500) and O at (0.000, 0.500, 0.000).

A plane-wave DFT calculation with PBE was carried out for a relaxed structure of InIrSe2.

The value obtained for the uncorrected energy is -4.88 eV/atom. Its density of states at the Fermi level is 1.11 states/eV per cell.

The structure belongs to space group P2/m (No. 10); the cell edges are 4.909, 3.759 and 5.433 Å and the angles 90.00°, 115.34° and 90.00°. The inequivalent atoms are In at (0.000, 0.000, 0.000), Ir at (0.000, 0.000, 0.500) and Se at (0.366, 0.500, 0.659).

A plane-wave DFT calculation with PBE was carried out for a relaxed structure of ZrTa2C.

The value obtained for the uncorrected energy is -9.40 eV/atom. The formation energy from the elements is 967 meV per atom. Its density of states at the Fermi level is 3.76 states/eV per cell.

The structure belongs to space group P4/mmm (No. 123); the cell edges are 4.229, 4.229 and 3.498 Å and the angles 90.00°, 90.00° and 90.00°. The inequivalent atoms are Zr at (0.000, 0.000, 0.000), Ta at (0.000, 0.500, 0.500) and C at (0.500, 0.500, 0.000).

A plane-wave DFT calculation with PBE was carried out for a relaxed structure of ScFe3Ge3.

The value obtained for the energy above the most stable polymorph in this dataset is 404.2 meV/atom. The value obtained for the uncorrected energy is -6.09 eV/atom. The formation energy from the elements is 419 meV per atom. Its density of states at the Fermi level is 14.53 states/eV per cell.

The structure belongs to space group Pm-3n (No. 223); the cell edges are 6.439, 6.439 and 6.439 Å and the angles 90.00°, 90.00° and 90.00°. The inequivalent atoms are Sc at (0.000, 0.000, 0.000), Fe at (0.000, 0.250, 0.500) and Ge at (0.000, 0.500, 0.250).

A plane-wave DFT calculation with PBE was carried out for a relaxed structure of Sc2TaHg.

The value obtained for the uncorrected energy is -6.09 eV/atom. The formation energy from the elements is 115 meV per atom. Its density of states at the Fermi level is 9.75 states/eV per cell.

The structure belongs to space group C2/m (No. 12); the cell edges are 10.198, 3.158 and 5.382 Å and the angles 90.00°, 104.69° and 90.00°. The inequivalent atoms are Sc at (0.250, 0.000, 0.243), Ta at (0.000, 0.500, 0.000) and Hg at (0.000, 0.000, 0.500).

A plane-wave DFT calculation with PBE was carried out for a relaxed structure of La2CuSe.

The value obtained for the uncorrected energy is -5.28 eV/atom. Its density of states at the Fermi level is 7.65 states/eV per cell.

The structure belongs to space group Cm (No. 8); the cell edges are 11.639, 3.918 and 4.654 Å and the angles 90.00°, 90.01° and 90.00°. The inequivalent atoms are La at (0.000, 0.000, 0.000), La at (0.247, 0.500, 0.499), Cu at (0.492, 0.000, 0.500) and Se at (0.270, 0.000, 0.999).

A plane-wave DFT calculation with PBE was carried out for a relaxed structure of Dy6Sb5H.

The value obtained for the uncorrected energy is -5.20 eV/atom. Its density of states at the Fermi level is 7.88 states/eV per cell.

The structure belongs to space group C2/m (No. 12); the cell edges are 7.478, 12.905 and 7.495 Å and the angles 90.00°, 109.44° and 90.00°. The inequivalent atoms are Dy at (0.249, 0.167, 0.248), Dy at (0.250, 0.000, 0.744), Sb at (0.000, 0.169, 0.500), Sb at (0.000, 0.334, 0.000), Sb at (0.000, 0.500, 0.500) and H at (0.000, 0.000, 0.000).